# 1
VASP calculation (meta-GGA SCAN) on a crystal of AlNi2Hg relaxed with PBEsol.

Values from the calculation:
E_form, eV/atom: -0.0546
Magnetic moment, μB/atom: 0.00

Cell and atoms, written as POSCAR:
```
AlNi2Hg
1.0
3.939 -1.411 0.000
3.939 1.411 0.000
-0.981 0.000 5.037
Al Ni Hg
1 2 1
Cartesian
0.000 0.000 0.000
1.260 0.000 4.011
5.638 0.000 1.026
3.449 0.000 2.518
```

***

# 2
VASP calculation (meta-GGA SCAN) on a crystal of AlNiHgSe2 relaxed with PBEsol.

Values from the calculation:
E_form (uncorrected), eV/atom: 1.12
Magnetic moment, μB/atom: 0.27

Cell and atoms, written as POSCAR:
```
AlNiHgSe2
1.0
5.246 0.000 0.000
0.000 5.246 0.000
0.000 0.000 4.849
Al Ni Hg Se
1 1 1 2
Cartesian
0.000 0.000 0.000
2.623 2.623 0.000
0.000 0.000 2.424
0.000 2.623 2.424
2.623 0.000 2.424
```

***

# 3
VASP calculation (meta-GGA SCAN) on a crystal of Al3HgO relaxed with PBEsol.

Values from the calculation:
E_form (uncorrected), eV/atom: 0.80
Magnetic moment, μB/atom: 0.00

Cell and atoms, written as POSCAR:
```
Al3HgO
1.0
4.884 0.000 0.000
0.000 4.884 0.000
0.000 0.000 4.884
Al Hg O
3 1 1
Cartesian
0.000 0.000 2.442
0.000 2.442 0.000
2.442 0.000 0.000
0.000 0.000 0.000
2.442 2.442 2.442
```

***

# 4
VASP calculation (meta-GGA SCAN) on a crystal of AlHg3O relaxed with PBEsol.

Values from the calculation:
E_form (uncorrected), eV/atom: 0.47
Magnetic moment, μB/atom: 0.28

Cell and atoms, written as POSCAR:
```
AlHg3O
1.0
5.124 0.000 0.000
0.000 5.124 0.000
0.000 0.000 5.124
Al Hg O
1 3 1
Cartesian
0.000 0.000 0.000
0.000 0.000 2.562
0.000 2.562 0.000
2.562 0.000 0.000
2.562 2.562 2.562
```

***

# 5
VASP calculation (meta-GGA SCAN) on a crystal of Ta2AlHgO relaxed with PBEsol.

Values from the calculation:
E_form (uncorrected), eV/atom: -0.30
Magnetic moment, μB/atom: 0.00

Cell and atoms, written as POSCAR:
```
Ta2AlHgO
1.0
4.177 0.000 0.000
0.000 4.177 0.000
0.000 0.000 4.413
Ta Al Hg O
2 1 1 1
Cartesian
0.000 2.089 0.000
2.089 0.000 0.000
0.000 0.000 2.206
2.089 2.089 2.206
0.000 0.000 0.000
```

***

# 6
VASP calculation (meta-GGA SCAN) on a crystal of Al2TcHgO relaxed with PBEsol.

Values from the calculation:
E_form (uncorrected), eV/atom: -0.15
Magnetic moment, μB/atom: 0.00

Cell and atoms, written as POSCAR:
```
Al2TcHgO
1.0
4.999 0.000 0.000
0.000 4.999 0.000
0.000 0.000 3.688
Al Tc Hg O
2 1 1 1
Cartesian
0.000 2.499 0.000
2.499 0.000 0.000
0.000 0.000 0.000
2.499 2.499 1.844
0.000 0.000 1.844
```

***

# 7
VASP calculation (meta-GGA SCAN) on a crystal of AlHgOs relaxed with PBEsol.

Values from the calculation:
E_form, eV/atom: 0.4309
Magnetic moment, μB/atom: 0.00

Cell and atoms, written as POSCAR:
```
AlHgOs
1.0
0.000 2.964 2.964
2.964 0.000 2.964
2.964 2.964 0.000
Al Hg Os
1 1 1
Cartesian
0.000 0.000 0.000
4.447 4.447 4.447
1.482 1.482 1.482
```

***

# 8
VASP calculation (meta-GGA SCAN) on a crystal of AlHgP relaxed with PBEsol.

Values from the calculation:
E_form, eV/atom: 0.3271
Magnetic moment, μB/atom: 0.00

Cell and atoms, written as POSCAR:
```
AlHgP
1.0
0.000 3.150 3.150
3.150 0.000 3.150
3.150 3.150 0.000
Al Hg P
1 1 1
Cartesian
0.000 0.000 0.000
3.150 3.150 3.150
1.575 1.575 1.575
```

***

# 9
VASP calculation (meta-GGA SCAN) on a crystal of AlHg2PPb relaxed with PBEsol.

Values from the calculation:
E_form, eV/atom: 0.3890
Magnetic moment, μB/atom: 0.00

Cell and atoms, written as POSCAR:
```
AlHg2PPb
1.0
5.037 0.000 0.000
0.000 5.037 0.000
0.000 0.000 4.832
Al Hg P Pb
1 2 1 1
Cartesian
0.000 0.000 0.000
0.000 2.518 2.416
2.518 0.000 2.416
0.000 0.000 2.416
2.518 2.518 0.000
```

***

# 10
VASP calculation (meta-GGA SCAN) on a crystal of AlHg2Pb relaxed with PBEsol.

Values from the calculation:
E_form, eV/atom: 0.0517
Magnetic moment, μB/atom: 0.00

Cell and atoms, written as POSCAR:
```
AlHg2Pb
1.0
6.886 -1.667 0.000
6.886 1.667 0.000
-1.385 0.000 4.184
Al Hg Pb
1 2 1
Cartesian
0.000 0.000 0.000
3.305 0.000 3.424
6.276 0.000 2.118
9.376 0.000 0.833
```

***

# 11
VASP calculation (meta-GGA SCAN) on a crystal of AlHg2Pb relaxed with PBEsol.

Values from the calculation:
E_form, eV/atom: 0.2055
Magnetic moment, μB/atom: 0.00

Cell and atoms, written as POSCAR:
```
AlHg2Pb
1.0
3.234 -3.945 0.000
3.234 3.945 0.000
0.000 0.000 3.675
Al Hg Pb
1 2 1
Cartesian
0.000 0.000 0.000
1.617 1.972 1.837
1.617 -1.972 1.837
3.234 0.000 0.000
```

***

# 12
VASP calculation (meta-GGA SCAN) on a crystal of AlHg2Pb relaxed with PBEsol.

Values from the calculation:
E_form, eV/atom: 0.0272
Magnetic moment, μB/atom: 0.00

Cell and atoms, written as POSCAR:
```
AlHg2Pb
1.0
1.761 1.017 8.687
-1.761 1.017 8.687
0.000 -2.033 8.687
Al Hg Pb
1 2 1
Cartesian
0.000 0.000 0.000
0.000 0.000 6.810
0.000 0.000 19.250
0.000 0.000 13.030
```

***

# 13
VASP calculation (meta-GGA SCAN) on a crystal of AlHg3Pd relaxed with PBEsol.

Values from the calculation:
E_form, eV/atom: 0.4568
Magnetic moment, μB/atom: 0.00

Cell and atoms, written as POSCAR:
```
AlHg3Pd
1.0
4.970 0.000 0.000
0.000 4.970 0.000
0.000 0.000 4.970
Al Hg Pd
1 3 1
Cartesian
0.000 0.000 0.000
0.000 0.000 2.485
0.000 2.485 0.000
2.485 0.000 0.000
2.485 2.485 2.485
```

***

# 14
VASP calculation (meta-GGA SCAN) on a crystal of AlHg3Pd relaxed with PBEsol.

Values from the calculation:
E_form, eV/atom: 0.3357
Magnetic moment, μB/atom: 0.00

Cell and atoms, written as POSCAR:
```
AlHg3Pd
1.0
5.130 0.000 0.000
0.000 5.130 0.000
0.000 0.000 5.130
Al Hg Pd
1 3 1
Cartesian
0.000 0.000 0.000
0.000 2.565 2.565
2.565 0.000 2.565
2.565 2.565 0.000
2.565 2.565 2.565
```

***

# 15
VASP calculation (meta-GGA SCAN) on a crystal of Rb2Al2Hg relaxed with PBEsol.

Values from the calculation:
E_form, eV/atom: 0.2474
Magnetic moment, μB/atom: 0.00

Cell and atoms, written as POSCAR:
```
Rb2Al2Hg
1.0
-3.582 3.582 3.744
3.582 -3.582 3.744
3.582 3.582 -3.744
Rb Al Hg
2 2 1
Cartesian
3.582 0.000 1.872
0.000 3.582 1.872
0.000 0.000 1.197
0.000 0.000 6.291
0.000 0.000 3.744
```

***

# 16
VASP calculation (meta-GGA SCAN) on a crystal of RbAl3Hg relaxed with PBEsol.

Values from the calculation:
E_form, eV/atom: 0.5157
Magnetic moment, μB/atom: 0.00

Cell and atoms, written as POSCAR:
```
RbAl3Hg
1.0
5.264 0.000 0.000
0.000 5.264 0.000
0.000 0.000 5.264
Rb Al Hg
1 3 1
Cartesian
0.000 0.000 0.000
0.000 2.632 2.632
2.632 0.000 2.632
2.632 2.632 0.000
2.632 2.632 2.632
```

***

# 17
VASP calculation (meta-GGA SCAN) on a crystal of RbAl3Hg relaxed with PBEsol.

Values from the calculation:
E_form, eV/atom: 1.7498
Magnetic moment, μB/atom: 0.00

Cell and atoms, written as POSCAR:
```
RbAl3Hg
1.0
5.951 0.000 0.000
0.000 5.951 0.000
0.000 0.000 5.951
Rb Al Hg
1 3 1
Cartesian
0.000 0.000 0.000
0.000 0.000 2.976
0.000 2.976 0.000
2.976 0.000 0.000
2.976 2.976 2.976
```

***

# 18
VASP calculation (meta-GGA SCAN) on a crystal of RbAlHg3 relaxed with PBEsol.

Values from the calculation:
E_form, eV/atom: -0.2332
Magnetic moment, μB/atom: 0.00

Cell and atoms, written as POSCAR:
```
RbAlHg3
1.0
5.280 0.000 0.000
0.000 5.280 0.000
0.000 0.000 5.280
Rb Al Hg
1 1 3
Cartesian
0.000 0.000 0.000
2.640 2.640 2.640
0.000 2.640 2.640
2.640 0.000 2.640
2.640 2.640 0.000
```

***

# 19
VASP calculation (meta-GGA SCAN) on a crystal of Al2ReHg relaxed with PBEsol.

Values from the calculation:
E_form, eV/atom: -0.1035
Magnetic moment, μB/atom: 0.00

Cell and atoms, written as POSCAR:
```
Al2ReHg
1.0
3.262 0.000 0.000
0.000 3.262 0.000
0.000 0.000 5.914
Al Re Hg
2 1 1
Cartesian
0.000 0.000 1.280
0.000 0.000 4.634
1.631 1.631 0.000
1.631 1.631 2.957
```

***

# 20
VASP calculation (meta-GGA SCAN) on a crystal of Al3ReHg relaxed with PBEsol.

Values from the calculation:
E_form, eV/atom: 1.5080
Magnetic moment, μB/atom: 0.52

Cell and atoms, written as POSCAR:
```
Al3ReHg
1.0
4.776 0.000 0.000
0.000 4.776 0.000
0.000 0.000 4.776
Al Re Hg
3 1 1
Cartesian
0.000 0.000 2.388
0.000 2.388 0.000
2.388 0.000 0.000
2.388 2.388 2.388
0.000 0.000 0.000
```

***

# 21
VASP calculation (meta-GGA SCAN) on a crystal of Al2ReHg relaxed with PBEsol.

Values from the calculation:
E_form, eV/atom: 0.1077
Magnetic moment, μB/atom: 0.00

Cell and atoms, written as POSCAR:
```
Al2ReHg
1.0
4.850 -1.396 0.000
4.850 1.396 0.000
-0.664 0.000 4.711
Al Re Hg
2 1 1
Cartesian
0.000 0.000 0.000
1.876 0.000 3.284
7.017 0.000 0.852
4.376 0.000 2.298
```

***

# 22
VASP calculation (meta-GGA SCAN) on a crystal of AlRe4Hg relaxed with PBEsol.

Values from the calculation:
E_form, eV/atom: 0.5846
Magnetic moment, μB/atom: 0.00

Cell and atoms, written as POSCAR:
```
AlRe4Hg
1.0
0.000 3.669 3.669
3.669 0.000 3.669
3.669 3.669 0.000
Al Re Hg
1 4 1
Cartesian
0.000 0.000 0.000
2.752 2.752 2.752
4.585 4.585 2.752
4.585 2.752 4.585
2.752 4.585 4.585
5.503 5.503 5.503
```

***

# 23
VASP calculation (meta-GGA SCAN) on a crystal of Al2ReHg relaxed with PBEsol.

Values from the calculation:
E_form, eV/atom: 0.6056
Magnetic moment, μB/atom: 0.05

Cell and atoms, written as POSCAR:
```
Al2ReHg
1.0
-3.577 3.577 2.780
3.577 -3.577 2.780
3.577 3.577 -2.780
Al Re Hg
4 2 2
Cartesian
1.789 1.641 -0.695
1.936 -1.789 3.475
1.789 1.936 2.085
1.641 5.366 0.695
0.000 0.000 0.000
0.000 3.577 1.390
3.577 0.000 1.390
0.000 0.000 2.780
```

***

# 24
VASP calculation (meta-GGA SCAN) on a crystal of AlHg2Rh relaxed with PBEsol.

Values from the calculation:
E_form, eV/atom: -0.0624
Magnetic moment, μB/atom: 0.00

Cell and atoms, written as POSCAR:
```
AlHg2Rh
1.0
-1.972 1.972 4.349
1.972 -1.972 4.349
1.972 1.972 -4.349
Al Hg Rh
1 2 1
Cartesian
0.000 0.000 0.000
1.972 0.000 2.175
0.000 1.972 2.175
0.000 0.000 4.349
```

***

# 25
VASP calculation (meta-GGA SCAN) on a crystal of AlHg2Rh relaxed with PBEsol.

Values from the calculation:
E_form, eV/atom: -0.1553
Magnetic moment, μB/atom: 0.00

Cell and atoms, written as POSCAR:
```
AlHg2Rh
1.0
1.528 0.882 8.861
-1.528 0.882 8.861
0.000 -1.765 8.861
Al Hg Rh
1 2 1
Cartesian
0.000 0.000 0.000
0.000 0.000 13.802
0.000 0.000 20.058
0.000 0.000 7.180
```

***

# 26
VASP calculation (meta-GGA SCAN) on a crystal of AlHg3Rh relaxed with PBEsol.

Values from the calculation:
E_form, eV/atom: 0.8002
Magnetic moment, μB/atom: 0.23

Cell and atoms, written as POSCAR:
```
AlHg3Rh
1.0
4.917 0.000 0.000
0.000 4.917 0.000
0.000 0.000 4.917
Al Hg Rh
1 3 1
Cartesian
0.000 0.000 0.000
0.000 0.000 2.459
0.000 2.459 0.000
2.459 0.000 0.000
2.459 2.459 2.459
```

***

# 27
VASP calculation (meta-GGA SCAN) on a crystal of Al2HgRu relaxed with PBEsol.

Values from the calculation:
E_form, eV/atom: -0.1576
Magnetic moment, μB/atom: 0.00

Cell and atoms, written as POSCAR:
```
Al2HgRu
1.0
4.325 -1.536 0.000
4.325 1.536 0.000
-1.019 0.000 4.781
Al Hg Ru
2 1 1
Cartesian
1.817 0.000 1.008
5.814 0.000 3.772
-0.510 0.000 2.390
4.325 0.000 0.000
```

***

# 28
VASP calculation (meta-GGA SCAN) on a crystal of Al2HgRu relaxed with PBEsol.

Values from the calculation:
E_form, eV/atom: 0.1653
Magnetic moment, μB/atom: 0.00

Cell and atoms, written as POSCAR:
```
Al2HgRu
1.0
1.514 -2.431 0.000
1.514 2.431 0.000
0.000 0.000 9.035
Al Hg Ru
2 1 1
Cartesian
0.000 0.000 0.000
1.514 0.000 2.319
1.514 0.000 6.564
0.000 0.000 4.186
```

***

# 29
VASP calculation (meta-GGA SCAN) on a crystal of AlHg2Ru relaxed with PBEsol.

Values from the calculation:
E_form, eV/atom: 0.2537
Magnetic moment, μB/atom: 0.12

Cell and atoms, written as POSCAR:
```
AlHg2Ru
1.0
2.767 -4.914 0.000
2.767 4.914 0.000
-1.678 0.000 2.603
Al Hg Ru
1 2 1
Cartesian
0.000 0.000 0.000
1.384 2.457 0.000
1.384 -2.457 0.000
2.767 0.000 0.000
```

***

# 30
VASP calculation (meta-GGA SCAN) on a crystal of AlHg2Ru relaxed with PBEsol.

Values from the calculation:
E_form, eV/atom: 0.2005
Magnetic moment, μB/atom: 0.00

Cell and atoms, written as POSCAR:
```
AlHg2Ru
1.0
4.655 0.000 0.000
0.000 3.204 0.000
-1.353 0.000 4.586
Al Hg Ru
1 2 1
Cartesian
0.000 0.000 0.000
-0.677 1.602 2.293
1.651 0.000 2.293
2.327 1.602 0.000
```